# 1
This record from the Alexandria database describes a geometry-optimized PmDyInGa structure. The functional is PBE-GGA.

Output
Magnetization ... 0.00 μB/cell
Energy of formation from the pure elements ... -0.503 eV/atom
D(E_F) ... 1.447 states/eV/f.u.
Energy above the lowest structure with this stoichiometry ... 22 meV/atom

Geometry as POSCAR:
```
PmDyInGa
1.0
7.4386 0.0000 0.0000
0.0000 7.4386 0.0000
0.0000 0.0000 7.4386
Pm Dy In Ga
4 4 4 4
direct
0.0000 0.0000 0.0000
0.0000 0.5000 0.5000
0.5000 0.0000 0.5000
0.5000 0.5000 0.0000
0.0000 0.0000 0.5000
0.0000 0.5000 0.0000
0.5000 0.0000 0.0000
0.5000 0.5000 0.5000
0.2500 0.2500 0.7500
0.2500 0.7500 0.2500
0.7500 0.2500 0.2500
0.7500 0.7500 0.7500
0.2500 0.2500 0.2500
0.2500 0.7500 0.7500
0.7500 0.2500 0.7500
0.7500 0.7500 0.2500
```

---

# 2
This record from the Alexandria database describes a geometry-optimized La2AgOs structure. The functional is PBE-GGA.

Output
Magnetization ... 0.00 μB/cell
Energy of formation from the pure elements ... -0.062 eV/atom
D(E_F) ... 2.645 states/eV/f.u.

Geometry as POSCAR:
```
La2AgOs
1.0
3.6681 0.0000 0.0000
0.0000 5.1734 0.0000
0.0000 0.0000 5.2190
La Ag Os
2 1 1
direct
0.0000 0.0000 0.0000
0.0000 0.5000 0.4903
0.5000 0.0000 0.5094
0.5000 0.5000 0.9654
```

---

# 3
This record from the Alexandria database describes a geometry-optimized La3PmSm6Tm2 structure. The functional is PBE-GGA.

Output
Magnetization ... 0.00 μB/cell
Energy of formation from the pure elements ... 0.022 eV/atom
D(E_F) ... 18.992 states/eV/f.u.

Geometry as POSCAR:
```
La3PmSm6Tm2
1.0
3.1482 -5.4559 0.0000
3.1482 5.4559 0.0000
-2.1076 0.0000 11.8923
La Pm Sm Tm
3 1 6 2
direct
0.0000 0.0000 0.0000
0.3328 0.6672 0.0000
0.6672 0.3328 0.0000
0.5000 0.5000 0.5000
0.0842 0.4187 0.2559
0.2468 0.2468 0.7442
0.4187 0.0842 0.2559
0.5813 0.9158 0.7441
0.7532 0.7532 0.2558
0.9158 0.5813 0.7441
0.1667 0.8333 0.5000
0.8333 0.1667 0.5000
```

---

# 4
This record from the Alexandria database describes a geometry-optimized Mn3CdH structure. The functional is PBE-GGA.

Output
Magnetization ... 9.77 μB/cell
D(E_F) ... 2.253 states/eV/f.u.
Energy above the lowest structure with this stoichiometry ... 0 meV/atom

Geometry as POSCAR:
```
Mn3CdH
1.0
3.9786 0.0000 0.0000
0.0000 3.9786 0.0000
0.0000 0.0000 3.9786
Mn Cd H
3 1 1
direct
0.0000 0.0000 0.5000
0.0000 0.5000 0.0000
0.5000 0.0000 0.0000
0.5000 0.5000 0.5000
0.0000 0.0000 0.0000
```

---

# 5
This record from the Alexandria database describes a geometry-optimized LiHfBi2 structure. The functional is PBE-GGA.

Output
Magnetization ... 0.00 μB/cell
Energy of formation from the pure elements ... -0.165 eV/atom
D(E_F) ... 1.815 states/eV/f.u.
Energy above the lowest structure with this stoichiometry ... 26 meV/atom

Geometry as POSCAR:
```
LiHfBi2
1.0
4.2892 0.0000 0.0000
-2.1446 3.7146 0.0000
0.0000 0.0000 20.6024
Li Hf Bi
3 3 6
direct
0.0000 0.0000 0.0000
0.3333 0.6667 0.6667
0.6667 0.3333 0.3333
0.0000 0.0000 0.8304
0.3333 0.6667 0.4970
0.6667 0.3333 0.1637
0.0000 0.0000 0.2458
0.0000 0.0000 0.4159
0.3333 0.6667 0.0825
0.3333 0.6667 0.9124
0.6667 0.3333 0.5791
0.6667 0.3333 0.7492
```

---

# 6
This record from the Alexandria database describes a geometry-optimized Ac2MgRh9 structure. The functional is PBE-GGA.

Output
Magnetization ... 0.00 μB/cell
Energy of formation from the pure elements ... -0.265 eV/atom
D(E_F) ... 12.681 states/eV/f.u.

Geometry as POSCAR:
```
Ac2MgRh9
1.0
2.6662 1.5393 9.0519
-2.6662 1.5393 9.0519
0.0000 -3.0787 9.0519
Ac Mg Rh
2 1 9
direct
0.1358 0.1358 0.1358
0.8642 0.8642 0.8642
0.0000 0.0000 0.0000
0.0810 0.5774 0.5774
0.3325 0.3325 0.3325
0.4226 0.4226 0.9190
0.4226 0.9190 0.4226
0.5000 0.5000 0.5000
0.5774 0.0810 0.5774
0.5774 0.5774 0.0810
0.6675 0.6675 0.6675
0.9190 0.4226 0.4226
```